A relaxed structure of Tb6Te5Se. Source: Alexandria, functional PBE.

Cell lengths 7.4873, 8.6783, 7.5176 Å; angles 106.86, 99.50, 125.22 degrees
Fractional positions:
Tb 0.5392 0.7794 0.0000
Tb 0.1543 0.9265 0.3042
Tb 0.8457 0.0735 0.6958
Tb 0.4608 0.2206 0.0000
Tb 0.1499 0.3777 0.3042
Tb 0.8501 0.6223 0.6958
Te 0.0000 0.5000 0.0000
Te 0.3366 0.3366 0.6732
Te 0.3224 0.8224 0.6447
Te 0.6776 0.1776 0.3553
Te 0.6634 0.6634 0.3268
Se 0.0000 0.0000 0.0000

Results
Crystal system: monoclinic
Uncorrected formation energy, kJ/mol of formula units: -1621

=====

A relaxed structure of RhW2Se. Source: Alexandria, functional PBE.

Cell lengths 4.5758, 3.7526, 3.7526 Å; angles 90.00, 90.00, 90.00 degrees
Fractional positions:
Se 0.5000 0.0000 0.5000
W 0.0000 0.0000 0.0000
W 0.0000 0.5000 0.5000
Rh 0.5000 0.5000 0.0000

Results
Crystal system: tetragonal
Uncorrected formation energy, kJ/mol of formula units: 212

=====

A relaxed structure of Hg4AsCl. Source: Alexandria, functional PBE.

Cell lengths 5.9418, 5.9418, 5.9418 Å; angles 60.00, 60.00, 60.00 degrees
Fractional positions:
Hg 0.8759 0.3747 0.3747
Hg 0.3747 0.3747 0.8759
Hg 0.3747 0.3747 0.3747
Hg 0.3747 0.8759 0.3747
Cl 0.0000 0.0000 0.0000
As 0.7500 0.7500 0.7500

Results
Crystal system: cubic
Uncorrected formation energy, kJ/mol of formula units: 152

=====

A relaxed structure of Ag3TeSe3. Source: Alexandria, functional PBE.

Cell lengths 4.5757, 9.5772, 9.5772 Å; angles 120.00, 90.00, 90.00 degrees
Fractional positions:
Se 0.2500 0.9428 0.3168
Se 0.7500 0.3168 0.3740
Se 0.7500 0.0572 0.6832
Se 0.7500 0.6260 0.9428
Se 0.2500 0.3740 0.0572
Se 0.2500 0.6832 0.6260
Te 0.7500 0.3333 0.6667
Te 0.2500 0.6667 0.3333
Ag 0.2500 0.7926 0.9883
Ag 0.7500 0.2074 0.0117
Ag 0.7500 0.8043 0.7926
Ag 0.7500 0.9883 0.1957
Ag 0.2500 0.0117 0.8043
Ag 0.2500 0.1957 0.2074

Results
Crystal system: hexagonal
Uncorrected formation energy, kJ/mol of formula units: 45

=====

A relaxed structure of Zn5CuNi6. Source: Alexandria, functional PBE.

Cell lengths 3.8404, 6.5095, 6.8712 Å; angles 118.27, 106.23, 90.00 degrees
Fractional positions:
Ni 0.5001 0.2522 0.0000
Ni 0.1666 0.9155 0.3332
Ni 0.1666 0.4177 0.3332
Ni 0.8334 0.0845 0.6668
Ni 0.8334 0.5823 0.6668
Ni 0.4999 0.7478 0.0000
Zn 0.3322 0.3322 0.6644
Zn 0.0000 0.5000 0.0000
Zn 0.3373 0.8373 0.6746
Zn 0.6678 0.6678 0.3356
Zn 0.6627 0.1627 0.3254
Cu 0.0000 0.0000 0.0000

Results
Formation energy from the elements, meV per atom: -207
Crystal system: orthorhombic

=====

A relaxed structure of LaPuSbAu. Source: Alexandria, functional PBE.

Cell lengths 5.3806, 5.3806, 5.3806 Å; angles 60.00, 60.00, 60.00 degrees
Each line ends with the local moment (μB).
Fractional positions:
La 0.7500 0.7500 0.7500  0.35
Sb 0.5000 0.5000 0.5000  -0.05
Pu 0.2500 0.2500 0.2500  5.67
Au 0.0000 0.0000 0.0000  0.07

Results
Crystal system: cubic
Uncorrected formation energy, kJ/mol of formula units: -268

=====

> What is the formula in the second record?

RhW2Se

=====

> Number 4 is which compound?

Ag3TeSe3